DFT (PBE) results for a geometry-optimized Ce2ErThBi5 structure.

Structure (POSCAR):
```
Ce2ErThBi5
1.0
5.768 0.000 0.000
0.000 5.768 0.000
0.000 0.000 11.849
Ce Er Th Bi
2 1 1 5
direct
0.000 0.000 0.213
0.000 0.000 0.787
0.500 0.500 0.500
0.500 0.500 0.000
0.000 0.000 0.500
0.000 0.500 0.000
0.500 0.000 0.000
0.500 0.500 0.258
0.500 0.500 0.742
```

Calculated values
- Energy relative to the elements: 0.0894 eV per atom
- VASP energy: -42.45 eV per cell